(1)
VASP calculation (PBE) on BaMn2PN after structural relaxation.

```
BaMn2PN
1.0
2.6353 -6.1060 0.0000
2.6353 6.1060 0.0000
0.0000 0.0000 5.2101
Ba Mn P N
2 4 2 2
Direct
0.2471 0.7529 0.7500
0.7529 0.2471 0.2500
0.2677 0.2677 0.0000
0.2677 0.2677 0.5000
0.7323 0.7323 0.0000
0.7323 0.7323 0.5000
0.0999 0.9001 0.2500
0.9001 0.0999 0.7500
0.4438 0.5562 0.2500
0.5562 0.4438 0.7500
```

Calculated values
- crystal system = orthorhombic
- formation energy (no corrections) (eV per atom) = -0.575
- total magnetization (μB/cell) = 4.119
- symmetry = Cmcm

(2)
VASP calculation (PBE) on Ba2MnP2N6 after structural relaxation.

```
Ba2MnP2N6
1.0
2.8044 1.6191 5.7423
-2.8044 1.6191 5.7423
0.0000 -3.2382 5.7423
Ba Mn P N
2 1 2 6
Direct
0.2151 0.2151 0.2151
0.7849 0.7849 0.7849
0.0000 0.0000 0.0000
0.4023 0.4023 0.4023
0.5977 0.5977 0.5977
0.2420 0.2420 0.7323
0.2420 0.7323 0.2420
0.2677 0.7580 0.7580
0.7323 0.2420 0.2420
0.7580 0.2677 0.7580
0.7580 0.7580 0.2677
```

Calculated values
- crystal system = trigonal
- formation energy (no corrections) (eV per atom) = -0.452
- total magnetization (μB/cell) = 3.468
- symmetry = R-3m

Going through the records in order, we get E_tot values of -7.374; -7.160 eV per atom.